! Sn2HBr GGA-PBE relaxed; values from VASP
! Spin magnetization (μB per atom): 0.000
! DOS(E_F) (states/eV/cell): 3.43
! DFT total energy (eV/atom): -2.77
! Energy above the most stable polymorph in this dataset (meV per atom): 292
&SYSTEM
  ibrav = 0, nat = 4, ntyp = 3
/
ATOMIC_SPECIES
Sn 118.71 Sn.upf
Br 79.90 Br.upf
H 1.01 H.upf
CELL_PARAMETERS angstrom
0.0000 3.6059 3.6059
3.6059 0.0000 3.6059
3.6059 3.6059 0.0000
ATOMIC_POSITIONS angstrom
Sn 1.8030 1.8030 1.8030
Sn 5.4089 5.4089 5.4089
Br 3.6059 3.6059 3.6059
H 0.0000 0.0000 0.0000